SbRu2Se (PBE-GGA, relaxed); offset from the most stable computed form = 0.204 eV per atom; formation energy without anion corrections = 0.94 eV per formula unit
1.0
0.000 3.212 3.212
3.212 0.000 3.212
3.212 3.212 0.000
Sb Se Ru
1 1 2
Cartesian
3.212 3.212 3.212 Sb
0.000 0.000 0.000 Se
1.606 1.606 1.606 Ru
4.818 4.818 4.818 Ru

***

SbRuSe2 (PBE-GGA, relaxed); formation energy without anion corrections = -0.22 eV per formula unit
1.0
3.568 -0.005 0.045
1.788 3.088 0.045
1.652 0.951 8.502
Ru Sb Se
1 1 2
Cartesian
3.502 2.015 4.227 Ru
5.261 3.028 6.240 Sb
1.668 0.960 8.010 Se
1.732 0.997 2.913 Se

***

Calculated total energy in eV per atom, matching the order above: -6.305; -5.148